Crystalline AlBP2S at its relaxed geometry, computed with GGA-PBE.

Cell: 4.6275 4.6275 4.6053 Å, 90.00 90.00 90.00°
Positions (direct):
P  0.0000  0.5000  0.0000
P  0.5000  0.0000  0.0000
S  0.0000  0.0000  0.5000
B  0.5000  0.5000  0.5000
Al  0.0000  0.0000  0.0000

Results
E_form (uncorrected) = 6.8 eV/f.u.
Fermi-level density of states = 4.09 states/eV/f.u.



Crystalline AlBP2S at its relaxed geometry, computed with GGA-PBE.

Cell: 3.9725 4.6295 3.9725 Å, 90.00 90.00 90.00°
Positions (direct):
S  0.5000  0.5000  0.5000
B  0.0000  0.0000  0.0000
P  0.5000  0.0000  0.0000
P  0.0000  0.0000  0.5000
Al  0.0000  0.5000  0.0000

Results
E_form (uncorrected) = 3.4 eV/f.u.
Fermi-level density of states = 3.05 states/eV/f.u.



Crystalline AlBP2S at its relaxed geometry, computed with GGA-PBE.

Cell: 4.1320 4.1320 4.2311 Å, 90.00 90.00 90.00°
Positions (direct):
P  0.0000  0.5000  0.0000
P  0.5000  0.0000  0.0000
B  0.0000  0.0000  0.0000
S  0.0000  0.0000  0.5000
Al  0.5000  0.5000  0.5000

Results
E_form (uncorrected) = 3.5 eV/f.u.
Fermi-level density of states = 2.97 states/eV/f.u.



Crystalline Al2BSbP at its relaxed geometry, computed with GGA-PBE.

Cell: 4.6054 5.2829 4.6054 Å, 90.00 90.00 90.00°
Positions (direct):
B  0.5000  0.5000  0.5000
P  0.0000  0.0000  0.0000
Al  0.5000  0.0000  0.0000
Al  0.0000  0.0000  0.5000
Sb  0.0000  0.5000  0.0000

Results
E_form (uncorrected) = 6.3 eV/f.u.
Fermi-level density of states = 2.68 states/eV/f.u.



Crystalline AlSn2BP at its relaxed geometry, computed with GGA-PBE.

Cell: 5.1726 3.7735 5.1726 Å, 90.00 90.00 90.00°
Positions (direct):
Al  0.5000  0.5000  0.5000
Sn  0.5000  0.0000  0.0000
Sn  0.0000  0.0000  0.5000
B  0.0000  0.0000  0.0000
P  0.0000  0.5000  0.0000

Results
energy of formation from the pure elements = 0.578 eV per atom
Fermi-level density of states = 2.74 states/eV/f.u.



Crystalline AlBTe2P at its relaxed geometry, computed with GGA-PBE.

Cell: 4.9865 4.1350 4.9865 Å, 90.00 90.00 90.00°
Positions (direct):
Te  0.5000  0.0000  0.0000
Te  0.0000  0.0000  0.5000
Al  0.0000  0.5000  0.0000
B  0.0000  0.0000  0.0000
P  0.5000  0.5000  0.5000

Results
E_form (uncorrected) = 3.7 eV/f.u.
Fermi-level density of states = 3.12 states/eV/f.u.